1.
DFT (PBE) results for an optimized crystal structure of LaMgSe2.

The value obtained for the uncorrected formation energy is -1.379 eV/atom. For the density of states at the Fermi level, the calculation gives 0.8 states/eV/f.u. The calculation puts the uncorrected energy at -4.752 eV per atom.

The space group is C2/m (No. 12) and the conventional cell measures 7.1055, 7.1014 and 3.7182 Å, with angles of 90.00, 90.24 and 90.00 degrees. The inequivalent atoms are La at (0.0000, 0.0000, 0.0000), Mg at (0.0000, 0.5000, 0.0000) and Se at (0.2500, 0.2500, 0.5000).


2.
DFT (PBE) results for an optimized crystal structure of LaMgSe2.

The value obtained for the uncorrected formation energy is -1.511 eV/atom. For the density of states at the Fermi level, the calculation gives 1.8 states/eV/f.u. The calculation puts the uncorrected energy at -4.884 eV per atom.

The space group is R-3m (No. 166, hexagonal axes) and the conventional cell measures 4.0215, 4.0215 and 21.1671 Å, with angles of 90.00, 90.00 and 120.00 degrees. The inequivalent atoms are La at (0.0000, 0.0000, 0.0000), Mg at (0.0000, 0.0000, 0.5000) and Se at (0.0000, 0.0000, 0.2385).


3.
DFT (PBE) results for an optimized crystal structure of LaMgSe2.

The value obtained for the uncorrected formation energy is -1.237 eV/atom. For the density of states at the Fermi level, the calculation gives 1.6 states/eV/f.u. The calculation puts the uncorrected energy at -4.610 eV per atom.

The space group is R-3m (No. 166, hexagonal axes) and the conventional cell measures 4.3961, 4.3961 and 25.2974 Å, with angles of 90.00, 90.00 and 120.00 degrees. The inequivalent atoms are La at (0.0000, 0.0000, 0.0000), Mg at (0.0000, 0.0000, 0.5000) and Se at (0.0000, 0.0000, 0.3976).


4.
DFT (PBE) results for an optimized crystal structure of La2Mg2Se.

The value obtained for the uncorrected formation energy is -0.505 eV/atom. For the density of states at the Fermi level, the calculation gives 3.0 states/eV/f.u. The calculation puts the uncorrected energy at -3.811 eV per atom.

The space group is P4/mbm (No. 127) and the conventional cell measures 7.8017, 7.8017 and 5.4514 Å, with angles of 90.00, 90.00 and 90.00 degrees. The inequivalent atoms are La at (0.1579, 0.3421, 0.0000), Mg at (0.1399, 0.6399, 0.5000) and Se at (0.0000, 0.0000, 0.0000).